# 1
Below is a relaxed structure of SrTcP2, with properties calculated at the PBE level.

Cell lengths 4.399, 3.812, 11.323 Å; angles 90.00, 90.00, 90.00 degrees
Fractional positions:
Sr 0.000 0.000 0.000
Sr 0.000 0.500 0.500
Tc 0.500 0.000 0.765
Tc 0.500 0.500 0.265
P 0.000 0.000 0.715
P 0.000 0.500 0.215
P 0.500 0.000 0.380
P 0.500 0.500 0.880

Properties
total magnetic moment: 0.000 μB/f.u.
crystal system: orthorhombic
theoretical density: 4330 kg/m3
formation enthalpy at 0 K: -42.5 kJ per mole of atoms

# 2
Below is a relaxed structure of La3Ce2DyTe6, with properties calculated at the PBE level.

Cell lengths 7.793, 7.793, 7.871 Å; angles 99.52, 99.52, 120.11 degrees
Fractional positions:
La 0.000 0.000 0.000
La 0.331 0.669 0.000
La 0.669 0.331 0.000
Ce 0.166 0.834 0.500
Ce 0.834 0.166 0.500
Dy 0.500 0.500 0.500
Te 0.093 0.421 0.261
Te 0.254 0.254 0.743
Te 0.421 0.093 0.261
Te 0.579 0.907 0.739
Te 0.746 0.746 0.257
Te 0.907 0.579 0.739

Properties
total magnetic moment: 2.228 μB/f.u.
crystal system: monoclinic
energy relative to the elements, uncorrected: -1.4666 eV/atom
theoretical density: 6916 kg/m3

# 3
Below is a relaxed structure of ZrSbRhO6, with properties calculated at the PBE level.

Cell lengths 5.357, 5.357, 8.661 Å; angles 90.00, 90.00, 120.00 degrees
Fractional positions:
Zr 0.333 0.667 0.250
Zr 0.667 0.333 0.750
Sb 0.333 0.667 0.750
Sb 0.667 0.333 0.250
Rh 0.000 0.000 0.000
Rh 0.000 0.000 0.500
O 0.013 0.343 0.626
O 0.013 0.670 0.874
O 0.330 0.343 0.874
O 0.330 0.987 0.626
O 0.343 0.013 0.126
O 0.343 0.330 0.374
O 0.657 0.670 0.626
O 0.657 0.987 0.874
O 0.670 0.013 0.374
O 0.670 0.657 0.126
O 0.987 0.330 0.126
O 0.987 0.657 0.374

Properties
total magnetic moment: 0.000 μB/f.u.
crystal system: trigonal
energy relative to the elements, uncorrected: -1.6446 eV/atom
theoretical density: 6355 kg/m3